(1)
A geometry-optimized TcCO2 structure. Source: the Alexandria database, functional GGA-PBE.

Unit cell a=6.1649 b=6.1649 c=6.1649 alpha=24.68 beta=24.68 gamma=24.68
With the nearest neighbours (Å) after each atom.
Atoms (fractional coordinates):
Tc 0.0000 0.0000 0.0000  2 O 2.01
C 0.5000 0.5000 0.5000  6 O 1.81
O 0.1122 0.1122 0.1122  3 C 1.81, 1 Tc 2.01
O 0.8878 0.8878 0.8878  3 C 1.81, 1 Tc 2.01

Results
Formation energy from raw total energies in kJ/mol of atoms: 76.9

=====

(2)
A geometry-optimized Ir4Pt2Rh5 structure. Source: the Alexandria database, functional GGA-PBE.

Unit cell a=9.7507 b=9.1787 c=4.8384 alpha=81.86 beta=68.72 gamma=29.42
With the nearest neighbours (Å) after each atom.
Atoms (fractional coordinates):
Ir 0.0279 0.7150 0.2850  1 Ir 2.59, 5 Rh 2.60-2.71, 3 Pt 2.87-2.89
Ir 0.2850 0.9721 0.0279  1 Ir 2.59, 5 Rh 2.60-2.71, 3 Pt 2.87-2.89
Ir 0.7150 0.0279 0.9721  1 Ir 2.59, 5 Rh 2.60-2.71, 3 Pt 2.87-2.89
Ir 0.9721 0.2850 0.7150  1 Ir 2.59, 5 Rh 2.60-2.71, 3 Pt 2.87-2.89
Pt 0.3410 0.3410 0.6590  6 Ir 2.87-2.89, 4 Rh 2.90
Pt 0.6590 0.6590 0.3410  6 Ir 2.87-2.89, 4 Rh 2.90
Rh 0.0000 0.0000 0.0000  4 Rh 2.42, 4 Ir 2.61
Rh 0.0000 0.0000 0.5000  4 Rh 2.42-2.51, 4 Ir 2.71
Rh 0.2500 0.2500 0.2500  2 Rh 2.51, 4 Ir 2.60
Rh 0.5000 0.5000 0.0000  4 Rh 2.42-2.51, 4 Ir 2.71
Rh 0.7500 0.7500 0.7500  2 Rh 2.51, 4 Ir 2.60

Results
Energy of formation in eV/atom: 0.554

=====

(3)
A geometry-optimized AlTlSb4 structure. Source: the Alexandria database, functional GGA-PBE.

Unit cell a=6.3590 b=6.3590 c=6.3590 alpha=60.00 beta=60.00 gamma=60.00
With the nearest neighbours (Å) after each atom.
Atoms (fractional coordinates):
Al 0.0000 0.0000 0.0000  12 Sb 3.73, 4 Tl 3.89
Tl 0.2500 0.2500 0.2500  12 Sb 3.73, 4 Al 3.89
Sb 0.1221 0.6260 0.6260  6 Sb 3.16-3.20
Sb 0.6260 0.1221 0.6260  6 Sb 3.16-3.20
Sb 0.6260 0.6260 0.1221  6 Sb 3.16-3.20
Sb 0.6260 0.6260 0.6260  6 Sb 3.16-3.20

Results
Formation energy from raw total energies in kJ/mol of atoms: 25.6

=====

(4)
A geometry-optimized KSr structure. Source: the Alexandria database, functional GGA-PBE.

Unit cell a=6.8571 b=6.8571 c=6.8571 alpha=60.00 beta=60.00 gamma=60.00
With the nearest neighbours (Å) after each atom.
Atoms (fractional coordinates):
K 0.0000 0.0000 0.0000  4 Sr 4.20
Sr 0.7500 0.7500 0.7500  4 K 4.20

Results
Energy of formation in eV/atom: 0.723